Record 1
Entry from Alexandria: crystalline Co4AsIr at its relaxed geometry (GGA-PBE).

a = 4.7576 Å, b = 4.7576 Å, c = 4.7576 Å
α = 60.00°, β = 60.00°, γ = 60.00°
With the nearest neighbours (Å) after each atom.
Element x y z (fractional)
Co: 0.6248 0.6248 0.1257  6 Co 2.37-2.38
Co: 0.6248 0.1257 0.6248  6 Co 2.37-2.38
Co: 0.6248 0.6248 0.6248  6 Co 2.37-2.38
Co: 0.1257 0.6248 0.6248  6 Co 2.37-2.38
Ir: 0.2500 0.2500 0.2500  12 Co 2.79, 4 As 2.91
As: 0.0000 0.0000 0.0000  12 Co 2.79, 4 Ir 2.91

Record 2
Entry from Alexandria: crystalline Co2AsIr at its relaxed geometry (GGA-PBE).

a = 4.4048 Å, b = 4.4048 Å, c = 4.4738 Å
α = 81.87°, β = 81.87°, γ = 37.13°
With the nearest neighbours (Å) after each atom.
Element x y z (fractional)
Ir: 0.4924 0.4924 0.5027  3 As 2.51-2.70, 7 Co 2.58-2.71, 2 Ir 2.81
Co: 0.7482 0.7482 0.7822  2 As 2.46, 3 Co 2.48-2.49, 3 Ir 2.63
Co: 0.0096 0.0096 0.9812  3 As 2.45-2.69, 3 Co 2.48-2.49, 4 Ir 2.58-2.71
As: 0.2499 0.2499 0.2339  5 Co 2.45-2.69, 3 Ir 2.51-2.70

Record 3
Entry from Alexandria: crystalline CoAsIr2 at its relaxed geometry (GGA-PBE).

a = 4.5099 Å, b = 4.5099 Å, c = 4.5099 Å
α = 127.75°, β = 127.75°, γ = 77.04°
With the nearest neighbours (Å) after each atom.
Element x y z (fractional)
As: 0.2500 0.7500 0.5000  8 Ir 2.66, 4 Co 2.81
Ir: 0.5000 0.5000 0.0000  4 As 2.66, 4 Co 2.66, 4 Ir 2.81
Ir: 0.0000 0.0000 0.0000  4 Co 2.66, 4 As 2.66, 4 Ir 2.81
Co: 0.7500 0.2500 0.5000  8 Ir 2.66, 4 As 2.81

Record 4
Entry from Alexandria: crystalline CoAs2Ir at its relaxed geometry (GGA-PBE).

Calculated values
Distance to the lowest polymorph of the same formula: 0.362 eV per atom

a = 4.4052 Å, b = 4.4052 Å, c = 3.0411 Å
α = 90.00°, β = 90.00°, γ = 92.70°
With the nearest neighbours (Å) after each atom.
Element x y z (fractional)
Ir: 0.0000 0.5000 0.5000  8 As 2.68
As: 0.0000 0.0000 0.0000  4 Ir 2.68, 4 Co 2.68
As: 0.5000 0.5000 0.0000  4 Co 2.68, 4 Ir 2.68
Co: 0.5000 0.0000 0.5000  8 As 2.68

Record 5
Entry from Alexandria: crystalline CoAsIr at its relaxed geometry (GGA-PBE).

a = 6.7725 Å, b = 6.4779 Å, c = 2.8074 Å
α = 83.72°, β = 71.95°, γ = 24.33°
With the nearest neighbours (Å) after each atom.
Element x y z (fractional)
Ir: 0.6699 0.6699 0.3301  2 Co 2.53, 2 As 2.63, 6 Ir 2.81-2.82
As: 0.9939 0.9939 0.0061  2 Co 2.44, 2 Ir 2.63
Co: 0.3362 0.3362 0.6638  2 As 2.44, 2 Ir 2.53

Record 6
Entry from Alexandria: crystalline Co2AsIr at its relaxed geometry (GGA-PBE).

a = 3.6906 Å, b = 3.6761 Å, c = 3.6761 Å
α = 90.00°, β = 90.00°, γ = 90.00°
With the nearest neighbours (Å) after each atom.
Element x y z (fractional)
As: 0.5000 0.0000 0.5000  4 Ir 2.60, 8 Co 2.60
Co: 0.0000 0.5000 0.5000  4 Co 2.60, 4 As 2.60, 4 Ir 2.60
Co: 0.0000 0.0000 0.0000  4 Co 2.60, 4 As 2.60, 4 Ir 2.60
Ir: 0.5000 0.5000 0.0000  4 As 2.60, 8 Co 2.60

Record 7
Entry from Alexandria: crystalline CoAs2Ir at its relaxed geometry (GGA-PBE).

Calculated values
Distance to the lowest polymorph of the same formula: 0.224 eV per atom

a = 5.3523 Å, b = 5.3523 Å, c = 6.6222 Å
α = 66.16°, β = 66.16°, γ = 90.00°
With the nearest neighbours (Å) after each atom.
Element x y z (fractional)
Co: 0.5000 0.5000 0.0000  4 As 2.27
Co: 0.2500 0.7500 0.5000  4 As 2.27
As: 0.3750 0.3950 0.7500  2 Co 2.27, 2 Ir 2.39
As: 0.8750 0.8550 0.7500  2 Co 2.27, 2 Ir 2.39
As: 0.6050 0.1250 0.2500  2 Co 2.27, 2 Ir 2.39
As: 0.1450 0.6250 0.2500  2 Co 2.27, 2 Ir 2.39
Ir: 0.0000 0.0000 0.0000  4 As 2.39
Ir: 0.7500 0.2500 0.5000  4 As 2.39

Record 8
Entry from Alexandria: crystalline CoAs2Ir at its relaxed geometry (GGA-PBE).

Calculated values
Distance to the lowest polymorph of the same formula: 0.320 eV per atom

a = 4.3683 Å, b = 4.3683 Å, c = 4.3683 Å
α = 60.00°, β = 60.00°, γ = 60.00°
With the nearest neighbours (Å) after each atom.
Element x y z (fractional)
Ir: 0.5000 0.5000 0.5000  8 As 2.68
As: 0.7500 0.7500 0.7500  4 Co 2.68, 4 Ir 2.68
As: 0.2500 0.2500 0.2500  4 Ir 2.68, 4 Co 2.68
Co: 0.0000 0.0000 0.0000  8 As 2.68

Record 9
Entry from Alexandria: crystalline Co2AsIr at its relaxed geometry (GGA-PBE).

a = 4.1992 Å, b = 4.1992 Å, c = 4.1992 Å
α = 60.00°, β = 60.00°, γ = 60.00°
With the nearest neighbours (Å) after each atom.
Element x y z (fractional)
As: 0.5000 0.5000 0.5000  4 Ir 2.57, 4 Co 2.57
Co: 0.2500 0.2500 0.2500  4 Co 2.57, 4 As 2.57
Co: 0.0000 0.0000 0.0000  4 Co 2.57, 4 Ir 2.57
Ir: 0.7500 0.7500 0.7500  4 As 2.57, 4 Co 2.57

Record 10
Entry from Alexandria: crystalline CoAsIr at its relaxed geometry (GGA-PBE).

a = 5.1148 Å, b = 5.1148 Å, c = 5.1148 Å
α = 146.37°, β = 146.37°, γ = 48.30°
With the nearest neighbours (Å) after each atom.
Element x y z (fractional)
As: 0.9909 0.9909 0.0000  4 Co 2.47, 4 Ir 2.61
Co: 0.3508 0.3508 0.0000  4 As 2.47, 4 Ir 2.76
Ir: 0.6583 0.6583 0.0000  4 As 2.61, 5 Co 2.76-2.87

Record 11
Entry from Alexandria: crystalline CoAs2Ir at its relaxed geometry (GGA-PBE).

Calculated values
Distance to the lowest polymorph of the same formula: 0.380 eV per atom

a = 5.3465 Å, b = 5.3465 Å, c = 5.3465 Å
α = 147.00°, β = 132.64°, γ = 58.93°
With the nearest neighbours (Å) after each atom.
Element x y z (fractional)
As: 0.2685 0.7685 0.5000  2 Co 2.42, 4 Ir 2.63
As: 0.9927 0.9927 0.0000  2 Ir 2.58, 4 Co 2.64
Ir: 0.7681 0.2681 0.5000  6 As 2.58-2.63, 2 Co 2.86
Co: 0.4707 0.4707 0.0000  6 As 2.42-2.64

Record 12
Entry from Alexandria: crystalline CoAsIr at its relaxed geometry (GGA-PBE).

a = 4.0470 Å, b = 4.0470 Å, c = 2.9379 Å
α = 90.00°, β = 90.00°, γ = 120.00°
With the nearest neighbours (Å) after each atom.
Element x y z (fractional)
Ir: 0.6667 0.3333 0.7423  3 As 2.47, 6 Co 2.76
Co: 0.3333 0.6667 0.2424  3 As 2.43
As: 0.0000 0.0000 0.0153  3 Co 2.43, 3 Ir 2.47

Record 13
Entry from Alexandria: crystalline CoAsIr2 at its relaxed geometry (GGA-PBE).

a = 2.7446 Å, b = 2.7446 Å, c = 9.0144 Å
α = 90.00°, β = 90.00°, γ = 119.63°
With the nearest neighbours (Å) after each atom.
Element x y z (fractional)
Ir: 0.0000 0.0000 0.9850  2 Co 2.53, 6 Ir 2.74-2.76, 2 As 2.76
Ir: 0.0000 0.0000 0.5150  2 Co 2.53, 6 Ir 2.74-2.76, 2 As 2.76
Co: 0.5000 0.5000 0.7500  4 Ir 2.53, 6 Co 2.74-2.76
As: 0.5000 0.5000 0.2500  6 As 2.74-2.76, 4 Ir 2.76

Record 14
Entry from Alexandria: crystalline Co2AsIr at its relaxed geometry (GGA-PBE).

a = 3.8088 Å, b = 2.7539 Å, c = 5.1878 Å
α = 72.57°, β = 90.00°, γ = 90.00°
With the nearest neighbours (Å) after each atom.
Element x y z (fractional)
As: 0.5000 0.7500 0.7500  4 Co 2.37, 2 Ir 2.55
Co: 0.0000 0.6137 0.5078  2 As 2.37, 1 Co 2.55
Co: 0.0000 0.8863 0.9922  2 As 2.37, 1 Co 2.55
Ir: 0.5000 0.2500 0.2500  2 As 2.55, 8 Co 2.66-2.69, 2 Ir 2.75

Record 15
Entry from Alexandria: crystalline CoAs2Ir at its relaxed geometry (GGA-PBE).

Calculated values
Distance to the lowest polymorph of the same formula: 0.576 eV per atom

a = 3.0267 Å, b = 4.9590 Å, c = 4.0630 Å
α = 90.00°, β = 90.00°, γ = 90.00°
With the nearest neighbours (Å) after each atom.
Element x y z (fractional)
As: 0.5000 0.5000 0.0000  4 Ir 2.53
As: 0.0000 0.0000 0.0000  4 Co 2.53
Ir: 0.0000 0.5000 0.5000  4 As 2.53
Co: 0.5000 0.0000 0.5000  4 As 2.53

Record 16
Entry from Alexandria: crystalline CoAs2Ir at its relaxed geometry (GGA-PBE).

Calculated values
Distance to the lowest polymorph of the same formula: 0.426 eV per atom

a = 5.0152 Å, b = 5.0152 Å, c = 5.0152 Å
α = 136.86°, β = 136.86°, γ = 62.66°
With the nearest neighbours (Å) after each atom.
Element x y z (fractional)
As: 0.0000 0.0000 0.0000  4 Co 2.61, 4 As 2.83, 4 Ir 2.83
As: 0.2500 0.7500 0.5000  4 Ir 2.61, 4 As 2.83, 4 Co 2.83
Ir: 0.7500 0.2500 0.5000  8 As 2.61-2.83, 4 Co 2.83
Co: 0.5000 0.5000 0.0000  8 As 2.61-2.83, 4 Ir 2.83

Record 17
Entry from Alexandria: crystalline CoAs2Ir at its relaxed geometry (GGA-PBE).

Calculated values
Distance to the lowest polymorph of the same formula: 0.026 eV per atom

a = 4.2612 Å, b = 4.2612 Å, c = 5.2067 Å
α = 91.47°, β = 91.47°, γ = 41.49°
With the nearest neighbours (Å) after each atom.
Element x y z (fractional)
As: 0.9639 0.9639 0.9818  2 Co 2.33, 3 Ir 2.43-2.54
As: 0.2879 0.2879 0.4418  3 Co 2.37-2.44, 2 Ir 2.51
Ir: 0.6828 0.6828 0.7869  5 As 2.43-2.54
Co: 0.5655 0.5655 0.2895  5 As 2.33-2.44

Record 18
Entry from Alexandria: crystalline CoAsIr2 at its relaxed geometry (GGA-PBE).

a = 5.1471 Å, b = 5.1471 Å, c = 5.1471 Å
α = 147.39°, β = 129.99°, γ = 60.99°
With the nearest neighbours (Å) after each atom.
Element x y z (fractional)
As: 0.4942 0.4942 0.0000  2 Co 2.39, 6 Ir 2.49-2.61
Co: 0.2802 0.7802 0.5000  2 As 2.39, 4 Ir 2.66
Ir: 0.0029 0.0029 0.0000  4 As 2.61, 2 Co 2.85, 6 Ir 2.88-2.92
Ir: 0.7227 0.2227 0.5000  2 As 2.49, 4 Co 2.66

Record 19
Entry from Alexandria: crystalline Co2AsIr at its relaxed geometry (GGA-PBE).

a = 4.5922 Å, b = 4.5922 Å, c = 4.5922 Å
α = 132.45°, β = 132.45°, γ = 69.52°
With the nearest neighbours (Å) after each atom.
Element x y z (fractional)
As: 0.7500 0.2500 0.5000  4 Ir 2.62, 8 Co 2.64
Ir: 0.2500 0.7500 0.5000  4 As 2.62, 8 Co 2.64
Co: 0.5000 0.5000 0.0000  4 Co 2.62, 4 As 2.64, 4 Ir 2.64
Co: 0.0000 0.0000 0.0000  4 Co 2.62, 4 As 2.64, 4 Ir 2.64

Record 20
Entry from Alexandria: crystalline CoAsIr2 at its relaxed geometry (GGA-PBE).

a = 4.5575 Å, b = 4.5575 Å, c = 4.7013 Å
α = 77.67°, β = 77.67°, γ = 36.16°
With the nearest neighbours (Å) after each atom.
Element x y z (fractional)
Ir: 0.9941 0.9941 0.0331  2 As 2.57, 3 Co 2.57, 5 Ir 2.71-2.83
Ir: 0.7544 0.7544 0.7478  3 As 2.66-2.72, 4 Co 2.68-2.81, 5 Ir 2.71-2.83
Co: 0.2458 0.2458 0.2355  7 Ir 2.57-2.81, 3 As 2.57-2.76, 2 Co 2.83
As: 0.5057 0.5057 0.4836  5 Ir 2.57-2.72, 3 Co 2.57-2.76, 2 As 2.83

Record 21
Entry from Alexandria: crystalline Co2AsIr at its relaxed geometry (GGA-PBE).

a = 4.4273 Å, b = 4.4273 Å, c = 2.7452 Å
α = 90.00°, β = 90.00°, γ = 109.54°
With the nearest neighbours (Å) after each atom.
Element x y z (fractional)
Co: 0.0000 0.0000 0.0000  4 Co 2.55-2.75, 4 Ir 2.60, 4 As 2.60
Co: 0.5000 0.5000 0.0000  4 Co 2.55-2.75, 4 As 2.60, 4 Ir 2.60
As: 0.0000 0.5000 0.5000  2 Ir 2.55, 8 Co 2.60, 2 As 2.75
Ir: 0.5000 0.0000 0.5000  2 As 2.55, 8 Co 2.60, 2 Ir 2.75

Record 22
Entry from Alexandria: crystalline CoAs2Ir at its relaxed geometry (GGA-PBE).

Calculated values
Distance to the lowest polymorph of the same formula: 0.355 eV per atom

a = 2.9895 Å, b = 2.9902 Å, c = 6.4849 Å
α = 90.00°, β = 90.00°, γ = 90.00°
With the nearest neighbours (Å) after each atom.
Element x y z (fractional)
As: 0.0000 0.0000 0.4856  4 Co 2.61, 4 Ir 2.72
As: 0.0000 0.0000 0.0144  4 Co 2.61, 4 Ir 2.72
Co: 0.5000 0.5000 0.2500  8 As 2.61
Ir: 0.5000 0.5000 0.7500  8 As 2.72, 4 Ir 2.99

Record 23
Entry from Alexandria: crystalline CoAsIr2 at its relaxed geometry (GGA-PBE).

a = 2.8318 Å, b = 2.8318 Å, c = 6.9607 Å
α = 90.00°, β = 90.00°, γ = 90.00°
With the nearest neighbours (Å) after each atom.
Element x y z (fractional)
As: 0.0000 0.0000 0.5124  4 Co 2.57, 4 Ir 2.66, 4 As 2.83
Co: 0.5000 0.5000 0.7437  4 As 2.57, 4 Ir 2.61, 4 Co 2.83
Ir: 0.5000 0.5000 0.2598  4 As 2.66, 8 Ir 2.77-2.83
Ir: 0.0000 0.0000 0.9840  4 Co 2.61, 8 Ir 2.77-2.83

Record 24
Entry from Alexandria: crystalline CoAsIr2 at its relaxed geometry (GGA-PBE).

a = 4.4101 Å, b = 4.4101 Å, c = 2.8845 Å
α = 90.00°, β = 90.00°, γ = 90.00°
With the nearest neighbours (Å) after each atom.
Element x y z (fractional)
Co: 0.0000 0.5000 0.5000  8 Ir 2.63, 2 Co 2.88
Ir: 0.0000 0.0000 0.0000  4 As 2.63, 4 Co 2.63, 2 Ir 2.88
Ir: 0.5000 0.5000 0.0000  4 As 2.63, 4 Co 2.63, 2 Ir 2.88
As: 0.5000 0.0000 0.5000  8 Ir 2.63, 2 As 2.88

Record 25
Entry from Alexandria: crystalline Co2AsIr at its relaxed geometry (GGA-PBE).

a = 3.0841 Å, b = 3.0841 Å, c = 5.5135 Å
α = 90.00°, β = 90.00°, γ = 90.00°
With the nearest neighbours (Å) after each atom.
Element x y z (fractional)
As: 0.5000 0.5000 0.7692  5 Co 2.48-2.57, 4 Ir 2.65
Co: 0.5000 0.5000 0.2189  4 Co 2.45, 1 As 2.48, 4 Ir 2.66
Co: 0.0000 0.0000 0.0170  4 Co 2.45, 4 As 2.57, 1 Ir 2.64
Ir: 0.0000 0.0000 0.4950  6 Co 2.64-2.88, 4 As 2.65

Record 26
Entry from Alexandria: crystalline CoAs2Ir at its relaxed geometry (GGA-PBE).

Calculated values
Distance to the lowest polymorph of the same formula: 0.407 eV per atom

a = 3.9615 Å, b = 3.8876 Å, c = 4.2483 Å
α = 93.85°, β = 90.00°, γ = 90.00°
With the nearest neighbours (Å) after each atom.
Element x y z (fractional)
Ir: 0.5000 0.7500 0.7500  4 As 2.47
As: 0.0000 0.9607 0.0540  2 Co 2.40, 1 As 2.41, 2 Ir 2.47
As: 0.0000 0.5393 0.4460  2 Co 2.40, 1 As 2.41, 2 Ir 2.47
Co: 0.5000 0.2500 0.2500  4 As 2.40

Record 27
Entry from Alexandria: crystalline Co2AsIr at its relaxed geometry (GGA-PBE).

a = 4.4784 Å, b = 4.4784 Å, c = 4.4784 Å
α = 130.47°, β = 130.47°, γ = 72.66°
With the nearest neighbours (Å) after each atom.
Element x y z (fractional)
Co: 0.0000 0.0000 0.0000  4 As 2.60, 4 Co 2.60, 4 Ir 2.65
Co: 0.2500 0.7500 0.5000  4 Co 2.60, 4 Ir 2.60, 4 As 2.65
Ir: 0.5000 0.5000 0.0000  8 Co 2.60-2.65, 4 As 2.60
As: 0.7500 0.2500 0.5000  4 Ir 2.60, 8 Co 2.60-2.65

Record 28
Entry from Alexandria: crystalline CoAsIr2 at its relaxed geometry (GGA-PBE).

a = 8.2873 Å, b = 8.2873 Å, c = 8.2873 Å
α = 19.82°, β = 19.82°, γ = 19.82°
With the nearest neighbours (Å) after each atom.
Element x y z (fractional)
Ir: 0.5002 0.5002 0.5002  3 As 2.61, 3 Co 2.62, 6 Ir 2.85
Ir: 0.9998 0.9998 0.9998  3 As 2.61, 3 Co 2.62, 6 Ir 2.85
As: 0.2500 0.2500 0.2500  6 Ir 2.61, 6 As 2.85
Co: 0.7500 0.7500 0.7500  6 Ir 2.62, 6 Co 2.85

Record 29
Entry from Alexandria: crystalline Co2AsIr at its relaxed geometry (GGA-PBE).

a = 4.6681 Å, b = 4.6681 Å, c = 7.0892 Å
α = 70.78°, β = 70.78°, γ = 90.00°
With the nearest neighbours (Å) after each atom.
Element x y z (fractional)
Co: 0.3750 0.3829 0.7500  2 As 2.26, 2 Ir 2.30
Co: 0.6171 0.1250 0.2500  2 As 2.26, 2 Ir 2.30
Co: 0.1329 0.6250 0.2500  2 As 2.26, 2 Ir 2.30
Co: 0.8750 0.8671 0.7500  2 As 2.26, 2 Ir 2.30
As: 0.2500 0.7500 0.5000  4 Co 2.26
As: 0.5000 0.5000 0.0000  4 Co 2.26
Ir: 0.0000 0.0000 0.0000  4 Co 2.30
Ir: 0.7500 0.2500 0.5000  4 Co 2.30

Record 30
Entry from Alexandria: crystalline CoAsIr2 at its relaxed geometry (GGA-PBE).

a = 5.2338 Å, b = 5.2338 Å, c = 5.2338 Å
α = 148.21°, β = 129.90°, γ = 60.56°
With the nearest neighbours (Å) after each atom.
Element x y z (fractional)
As: 0.7500 0.2500 0.5000  4 Ir 2.49, 4 Co 2.64
Ir: 0.5243 0.5243 0.0000  2 As 2.49, 4 Ir 2.68
Ir: 0.9757 0.9757 0.0000  2 As 2.49, 4 Ir 2.68
Co: 0.2500 0.7500 0.5000  4 As 2.64, 4 Ir 2.86, 2 Co 2.87

| no. | theoretical density (g/cm³) | ΔE_f (eV per atom) | calculated total energy (eV/atom) |
| --- | --- | --- | --- |
| 1 | 11.0 | 0.313 | -6.676 |
| 2 | 12.3 | 0.078 | -6.852 |
| 3 | 15.5 | 0.144 | -7.226 |
| 4 | 11.3 | 0.190 | -6.127 |
| 5 | 12.5 | 0.394 | -6.478 |
| 6 | 12.8 | 0.047 | -6.883 |
| 7 | 8.6 | 0.052 | -6.264 |
| 8 | 11.3 | 0.148 | -6.169 |
| 9 | 12.2 | 0.152 | -6.779 |
| 10 | 13.2 | 0.170 | -6.702 |
| 11 | 11.0 | 0.208 | -6.108 |
| 12 | 13.0 | 0.115 | -6.757 |
| 13 | 14.6 | 0.383 | -6.987 |
| 14 | 12.3 | 0.094 | -6.837 |
| 15 | 10.9 | 0.404 | -5.913 |
| 16 | 11.4 | 0.255 | -6.062 |
| 17 | 10.6 | -0.146 | -6.463 |
| 18 | 15.4 | 0.198 | -7.171 |
| 19 | 12.4 | 0.147 | -6.784 |
| 20 | 15.3 | 0.175 | -7.195 |
| 21 | 12.6 | 0.091 | -6.840 |
| 22 | 11.5 | 0.184 | -6.133 |
| 23 | 15.4 | 0.187 | -7.183 |
| 24 | 15.3 | 0.281 | -7.089 |
| 25 | 12.2 | 0.159 | -6.771 |
| 26 | 10.2 | 0.235 | -6.082 |
| 27 | 12.6 | 0.072 | -6.858 |
| 28 | 15.0 | 0.202 | -7.168 |
| 29 | 9.4 | 0.641 | -6.289 |
| 30 | 15.0 | 0.215 | -7.154 |